A plane-wave DFT calculation with GGA-PBE was carried out for a relaxed structure of Rb2TlZn2O4.

```
Rb2TlZn2O4
1.0
7.497 -1.774 0.000
7.497 1.774 0.000
-1.553 0.000 6.294
Rb Tl Zn O
2 1 2 4
Direct
0.133 0.133 0.045
0.867 0.867 0.955
0.000 0.000 0.500
0.321 0.321 0.488
0.679 0.679 0.512
0.218 0.218 0.665
0.445 0.445 0.686
0.555 0.555 0.314
0.782 0.782 0.335
```

Values from the calculation:
Calculated total energy, eV/atom: -4.078
N(E_F), states/eV/f.u.: 1.75
ΔE_f (raw), eV per atom: -1.113
Symmetry: C2/m

A plane-wave DFT calculation with GGA-PBE was carried out for a relaxed structure of Zn15Cu.

```
Zn15Cu
1.0
5.368 0.000 0.000
-2.684 4.649 0.000
0.000 0.000 9.443
Zn Cu
15 1
Direct
0.000 0.000 0.000
0.002 0.501 0.500
0.331 0.166 0.257
0.331 0.166 0.743
0.333 0.667 0.247
0.333 0.667 0.753
0.499 0.501 0.500
0.499 0.998 0.500
0.501 0.002 0.000
0.501 0.499 0.000
0.834 0.166 0.257
0.834 0.166 0.743
0.834 0.669 0.257
0.834 0.669 0.743
0.998 0.499 0.000
0.000 0.000 0.500
```

Values from the calculation:
Calculated total energy, eV/atom: -1.474
N(E_F), states/eV/f.u.: 2.29
Symmetry: P-6m2

A plane-wave DFT calculation with GGA-PBE was carried out for a relaxed structure of LiTb2Pu3Te6.

```
LiTb2Pu3Te6
1.0
9.583 -2.196 0.000
9.583 2.196 0.000
-1.960 0.000 8.584
Li Tb Pu Te
1 2 3 6
Direct
0.000 0.000 0.000
0.334 0.334 0.665
0.666 0.666 0.335
0.000 0.000 0.500
0.332 0.332 0.163
0.668 0.668 0.837
0.163 0.163 0.086
0.168 0.168 0.584
0.499 0.499 0.759
0.501 0.501 0.241
0.832 0.832 0.416
0.837 0.837 0.914
```

Values from the calculation:
Calculated total energy, eV/atom: -7.255
N(E_F), states/eV/f.u.: 41.45
ΔE_f (raw), eV per atom: -1.170
Symmetry: C2/m

A plane-wave DFT calculation with GGA-PBE was carried out for a relaxed structure of Ac2YPb2O2.

```
Ac2YPb2O2
1.0
-2.266 2.266 8.661
2.266 -2.266 8.661
2.266 2.266 -8.661
Ac Y Pb O
2 1 2 2
Direct
0.109 0.109 0.000
0.891 0.891 0.000
0.500 0.500 0.000
0.300 0.300 0.000
0.700 0.700 0.000
0.000 0.500 0.500
0.500 0.000 0.500
```

Values from the calculation:
Calculated total energy, eV/atom: -6.246
N(E_F), states/eV/f.u.: 5.27
ΔE_f (raw), eV per atom: -1.672
Symmetry: I4/mmm